[1]
## RbNa2Cd (PBE)

Data for crystalline RbNa2Cd at its relaxed geometry.

Values from the calculation:
Formation energy ... 0.83 kcal/mol of atoms

a = 5.999 Å, b = 5.999 Å, c = 5.999 Å
α = 60.00°, β = 60.00°, γ = 60.00°
Positions (direct):
Rb 0.000 0.000 0.000
Na 0.250 0.250 0.250
Na 0.750 0.750 0.750
Cd 0.500 0.500 0.500



[2]
## RbNa4Cd2 (PBE)

Data for crystalline RbNa4Cd2 at its relaxed geometry.

Values from the calculation:
Formation energy ... -0.30 kcal/mol of atoms

a = 9.165 Å, b = 9.165 Å, c = 5.521 Å
α = 90.00°, β = 90.00°, γ = 145.62°
Positions (direct):
Rb 0.000 0.000 0.000
Na 0.187 0.813 0.500
Na 0.319 0.681 0.000
Na 0.681 0.319 0.000
Na 0.813 0.187 0.500
Cd 0.416 0.584 0.500
Cd 0.584 0.416 0.500



[3]
## Rb2NaCd2 (PBE)

Data for crystalline Rb2NaCd2 at its relaxed geometry.

Values from the calculation:
Formation energy ... 1.61 kcal/mol of atoms
Excess energy over the best structure of this formula in the dataset ... 113 meV/atom

a = 10.946 Å, b = 10.946 Å, c = 3.851 Å
α = 90.00°, β = 90.00°, γ = 90.00°
Positions (direct):
Rb 0.190 0.310 0.000
Rb 0.310 0.810 0.000
Rb 0.690 0.190 0.000
Rb 0.810 0.690 0.000
Na 0.000 0.000 0.000
Na 0.500 0.500 0.000
Cd 0.098 0.598 0.500
Cd 0.402 0.098 0.500
Cd 0.598 0.902 0.500
Cd 0.902 0.402 0.500



[4]
## Rb2Na6Cd (PBE)

Data for crystalline Rb2Na6Cd at its relaxed geometry.

Values from the calculation:
Formation energy ... 0.68 kcal/mol of atoms
Excess energy over the best structure of this formula in the dataset ... 10 meV/atom

a = 4.356 Å, b = 11.359 Å, c = 11.359 Å
α = 131.51°, β = 90.00°, γ = 90.00°
Positions (direct):
Rb 0.000 0.200 0.800
Rb 0.000 0.800 0.200
Na 0.000 0.259 0.449
Na 0.000 0.449 0.259
Na 0.000 0.754 0.754
Na 0.500 0.099 0.099
Na 0.500 0.519 0.785
Na 0.500 0.785 0.519
Cd 0.500 0.482 0.482



[5]
## RbNa2Cd (PBE)

Data for crystalline RbNa2Cd at its relaxed geometry.

Values from the calculation:
Formation energy ... -0.46 kcal/mol of atoms

a = 7.190 Å, b = 9.207 Å, c = 11.679 Å
α = 90.00°, β = 120.82°, γ = 90.00°
Positions (direct):
Rb 0.069 0.064 0.202
Rb 0.069 0.436 0.702
Rb 0.931 0.564 0.298
Rb 0.931 0.936 0.798
Na 0.236 0.627 0.089
Na 0.236 0.873 0.589
Na 0.428 0.221 0.589
Na 0.428 0.279 0.089
Na 0.572 0.721 0.911
Na 0.572 0.779 0.411
Na 0.764 0.127 0.411
Na 0.764 0.373 0.911
Cd 0.484 0.075 0.877
Cd 0.484 0.425 0.377
Cd 0.516 0.575 0.623
Cd 0.516 0.925 0.123



[6]
## Rb4NaCd2 (PBE)

Data for crystalline Rb4NaCd2 at its relaxed geometry.

Values from the calculation:
Formation energy ... 2.87 kcal/mol of atoms

a = 10.509 Å, b = 10.509 Å, c = 10.509 Å
α = 139.53°, β = 139.53°, γ = 58.56°
Positions (direct):
Rb 0.000 0.500 0.500
Rb 0.217 0.217 0.000
Rb 0.500 0.000 0.500
Rb 0.783 0.783 0.000
Na 0.000 0.000 0.000
Cd 0.418 0.418 0.000
Cd 0.582 0.582 0.000



[7]
## Rb2Na2Cd15 (PBE)

Data for crystalline Rb2Na2Cd15 at its relaxed geometry.

Values from the calculation:
Formation energy ... -1.40 kcal/mol of atoms

a = 7.999 Å, b = 7.999 Å, c = 7.999 Å
α = 84.13°, β = 84.13°, γ = 84.13°
Positions (direct):
Rb 0.156 0.156 0.156
Rb 0.844 0.844 0.844
Na 0.398 0.398 0.398
Na 0.602 0.602 0.602
Cd 0.000 0.500 0.500
Cd 0.148 0.148 0.656
Cd 0.148 0.656 0.148
Cd 0.204 0.500 0.796
Cd 0.204 0.796 0.500
Cd 0.344 0.852 0.852
Cd 0.500 0.000 0.500
Cd 0.500 0.204 0.796
Cd 0.500 0.500 0.000
Cd 0.500 0.796 0.204
Cd 0.656 0.148 0.148
Cd 0.796 0.204 0.500
Cd 0.796 0.500 0.204
Cd 0.852 0.344 0.852
Cd 0.852 0.852 0.344



[8]
## RbNa17Cd11 (PBE)

Data for crystalline RbNa17Cd11 at its relaxed geometry.

Values from the calculation:
Formation energy ... -1.30 kcal/mol of atoms

a = 9.920 Å, b = 9.920 Å, c = 10.772 Å
α = 108.91°, β = 108.91°, γ = 103.39°
Positions (direct):
Rb 0.000 0.000 0.000
Na 0.164 0.588 0.974
Na 0.209 0.454 0.270
Na 0.245 0.860 0.293
Na 0.248 0.248 0.896
Na 0.251 0.850 0.814
Na 0.260 0.507 0.655
Na 0.454 0.209 0.270
Na 0.475 0.878 0.609
Na 0.507 0.260 0.655
Na 0.545 0.545 0.003
Na 0.564 0.564 0.562
Na 0.588 0.164 0.974
Na 0.850 0.251 0.814
Na 0.856 0.856 0.585
Na 0.857 0.857 0.264
Na 0.860 0.245 0.293
Na 0.878 0.475 0.609
Cd 0.002 0.191 0.585
Cd 0.057 0.663 0.452
Cd 0.186 0.186 0.402
Cd 0.191 0.002 0.585
Cd 0.502 0.891 0.122
Cd 0.511 0.702 0.300
Cd 0.598 0.800 0.887
Cd 0.663 0.057 0.452
Cd 0.702 0.511 0.300
Cd 0.800 0.598 0.887
Cd 0.891 0.502 0.122



[9]
## RbNa6Cd (PBE)

Data for crystalline RbNa6Cd at its relaxed geometry.

Values from the calculation:
Formation energy ... 0.48 kcal/mol of atoms
Excess energy over the best structure of this formula in the dataset ... 0 meV/atom

a = 5.426 Å, b = 10.627 Å, c = 5.392 Å
α = 90.00°, β = 90.00°, γ = 90.00°
Positions (direct):
Rb 0.000 0.000 0.000
Na 0.000 0.296 0.501
Na 0.000 0.500 0.000
Na 0.000 0.704 0.501
Na 0.500 0.000 0.500
Na 0.500 0.296 0.001
Na 0.500 0.704 0.001
Cd 0.500 0.500 0.501



[10]
## Rb5Na2Cd4 (PBE)

Data for crystalline Rb5Na2Cd4 at its relaxed geometry.

Values from the calculation:
Formation energy ... 1.11 kcal/mol of atoms

a = 9.005 Å, b = 9.005 Å, c = 10.384 Å
α = 121.04°, β = 121.04°, γ = 57.48°
Positions (direct):
Rb 0.000 0.000 0.000
Rb 0.053 0.542 0.336
Rb 0.458 0.947 0.664
Rb 0.542 0.053 0.336
Rb 0.947 0.458 0.664
Na 0.472 0.472 0.161
Na 0.528 0.528 0.839
Cd 0.009 0.009 0.656
Cd 0.222 0.222 0.973
Cd 0.778 0.778 0.027
Cd 0.991 0.991 0.344



[11]
## Rb3NaCd (PBE)

Data for crystalline Rb3NaCd at its relaxed geometry.

Values from the calculation:
Formation energy ... 0.12 kcal/mol of atoms
Excess energy over the best structure of this formula in the dataset ... 9 meV/atom

a = 15.078 Å, b = 15.078 Å, c = 5.465 Å
α = 90.00°, β = 90.00°, γ = 90.00°
Positions (direct):
Rb 0.041 0.323 0.000
Rb 0.115 0.885 0.500
Rb 0.177 0.541 0.500
Rb 0.323 0.041 0.000
Rb 0.385 0.385 0.000
Rb 0.459 0.823 0.500
Rb 0.541 0.177 0.500
Rb 0.615 0.615 0.000
Rb 0.677 0.959 0.000
Rb 0.823 0.459 0.500
Rb 0.885 0.115 0.500
Rb 0.959 0.677 0.000
Na 0.168 0.168 0.500
Na 0.332 0.668 0.000
Na 0.668 0.332 0.000
Na 0.832 0.832 0.500
Cd 0.071 0.071 0.000
Cd 0.429 0.571 0.500
Cd 0.571 0.429 0.500
Cd 0.929 0.929 0.000



[12]
## Rb2Na2Cd (PBE)

Data for crystalline Rb2Na2Cd at its relaxed geometry.

Values from the calculation:
Formation energy ... 3.64 kcal/mol of atoms
Excess energy over the best structure of this formula in the dataset ... 140 meV/atom

a = 10.442 Å, b = 10.442 Å, c = 5.323 Å
α = 90.00°, β = 90.00°, γ = 90.00°
Positions (direct):
Rb 0.167 0.333 0.000
Rb 0.333 0.833 0.000
Rb 0.667 0.167 0.000
Rb 0.833 0.667 0.000
Na 0.134 0.634 0.500
Na 0.366 0.134 0.500
Na 0.634 0.866 0.500
Na 0.866 0.366 0.500
Cd 0.000 0.000 0.000
Cd 0.500 0.500 0.000